Computed, not measured: an optimized crystal structure of Co3Cu3Te2O12 at the GGA-PBEsol level of DFT.

Values from the calculation:
D(E_F), states/eV per cell: 25.06
Energy relative to the elements, uncorrected, eV per formula unit: -16.03
V, Å³ per cell: 418
Total energy, eV/atom: -6.115
Crystal system: cubic
Size of the total moment, μB per formula unit: 1.37

a b c (Å): 8.157 8.157 8.157
angles (deg): 109.47 109.47 109.47
Positions (direct):
O 0.989 0.749 0.447
O 0.227 0.694 0.757
O 0.542 0.553 0.303
O 0.967 0.273 0.530
O 0.749 0.947 0.489
O 0.697 0.751 0.740
O 0.694 0.257 0.727
O 0.273 0.030 0.467
O 0.958 0.260 0.011
O 0.438 0.470 0.743
O 0.243 0.438 0.970
O 0.062 0.806 0.033
O 0.751 0.240 0.197
O 0.533 0.062 0.306
O 0.511 0.958 0.760
O 0.803 0.542 0.053
O 0.260 0.511 0.458
O 0.257 0.227 0.194
O 0.553 0.803 0.042
O 0.947 0.989 0.249
O 0.470 0.243 0.938
O 0.030 0.967 0.773
O 0.806 0.533 0.562
O 0.240 0.697 0.251
Te 0.500 0.981 0.500
Te 0.000 0.500 0.481
Te 0.519 0.519 0.019
Te 0.981 0.000 0.000
Co 0.785 0.750 0.535
Co 0.250 0.465 0.215
Co 0.035 0.785 0.250
Co 0.465 0.715 0.750
Co 0.715 0.250 0.965
Co 0.750 0.035 0.285
Cu 0.250 0.978 0.728
Cu 0.228 0.250 0.478
Cu 0.978 0.228 0.750
Cu 0.272 0.750 0.022
Cu 0.750 0.522 0.772
Cu 0.522 0.272 0.250


Computed, not measured: an optimized crystal structure of SbAsBr2 at the GGA-PBEsol level of DFT.

Values from the calculation:
D(E_F), states/eV per cell: 2.18
Distance to the lowest polymorph of the same formula, eV/atom: 0.021
Energy relative to the elements, uncorrected, eV per formula unit: 0.65
V, Å³ per cell: 99
Total energy, eV/atom: -3.188
Crystal system: trigonal
Size of the total moment, μB per formula unit: 0.00

a b c (Å): 3.379 3.379 10.221
angles (deg): 80.48 80.48 60.00
Positions (direct):
As 0.500 0.500 0.500
Sb 0.000 0.000 0.000
Br 0.907 0.907 0.278
Br 0.093 0.093 0.722